No. 1
Here is a relaxed ThNi5P2Pt crystal from the Alexandria database. Energies are from PBE.

The value obtained for the density of states at the Fermi level is 8.31 states/eV/cell. The space group is P4/mmm.

Cell: 3.882 3.882 9.457 Å, 90.00 90.00 90.00°
Sites, in units of the cell vectors:
Ni 0.500 0.500 0.500
Ni 0.000 0.500 0.170
Ni 0.500 0.000 0.170
Ni 0.500 0.000 0.830
Ni 0.000 0.500 0.830
Th 0.000 0.000 0.500
P 0.500 0.500 0.276
P 0.500 0.500 0.724
Pt 0.000 0.000 0.000

No. 2
Here is a relaxed Th2Ni12P3Pt crystal from the Alexandria database. Energies are from PBE.

The value obtained for the density of states at the Fermi level is 13.48 states/eV/cell. The space group is R-3m.

Cell: 7.215 7.215 7.215 Å, 63.27 63.27 63.27°
Sites, in units of the cell vectors:
P 0.000 0.000 0.500
P 0.500 0.000 0.000
P 0.000 0.500 0.000
Pt 0.000 0.000 0.000
Th 0.386 0.386 0.386
Th 0.614 0.614 0.614
Ni 0.110 0.654 0.654
Ni 0.890 0.346 0.346
Ni 0.131 0.131 0.611
Ni 0.654 0.110 0.654
Ni 0.346 0.890 0.346
Ni 0.869 0.389 0.869
Ni 0.611 0.131 0.131
Ni 0.654 0.654 0.110
Ni 0.869 0.869 0.389
Ni 0.346 0.346 0.890
Ni 0.389 0.869 0.869
Ni 0.131 0.611 0.131

No. 3
Here is a relaxed ThNi2PPt2 crystal from the Alexandria database. Energies are from PBE.

The value obtained for the density of states at the Fermi level is 5.95 states/eV/cell. The space group is P4/mmm.

Cell: 4.227 4.227 5.774 Å, 90.00 90.00 90.00°
Sites, in units of the cell vectors:
Pt 0.500 0.500 0.276
Pt 0.500 0.500 0.724
Th 0.000 0.000 0.500
Ni 0.000 0.500 0.000
Ni 0.500 0.000 0.000
P 0.000 0.000 0.000

Respective E_form values: -3.14 -1.57 -3.75 eV per formula unit.